Entry 1:
Zr3AlIn2NiIr2 | PBE | relaxed

Properties
E   -0.2626 hartree per atom
Size of the total moment   0.001 μB/f.u.

CIF file:
```
data_Zr3AlIn2NiIr2
_chemical_formula_sum 'Zr6 Al2 In4 Ni2 Ir4'
_symmetry_space_group_name_H-M 'A m m 2'
_symmetry_Int_Tables_number 38
_symmetry_space_group_name_Hall 'A 2 -2'
_cell_length_a 3.4498
_cell_length_b 12.9002
_cell_length_c 7.4236
_cell_angle_alpha 90.00
_cell_angle_beta 90.00
_cell_angle_gamma 90.00
loop_
_atom_site_label
_atom_site_fract_x
_atom_site_fract_y
_atom_site_fract_z
_atom_site_occupancy
Zr1 0.0000 0.0000 0.0000 1
Zr2 0.0000 0.1964 0.6195 1
Al1 0.5000 0.0000 0.6725 1
In1 0.5000 0.1267 0.2851 1
Ni1 0.0000 0.0000 0.4417 1
Ir1 0.5000 0.1622 0.9037 1
```

Entry 2:
TbHoS2Br2 | PBE | relaxed

Properties
E   -0.2015 hartree per atom
Size of the total moment   0.003 μB/f.u.

CIF file:
```
data_TbHoS2Br2
_chemical_formula_sum 'Tb1 Ho1 S2 Br2'
_symmetry_space_group_name_H-M 'P m m 2'
_symmetry_Int_Tables_number 25
_symmetry_space_group_name_Hall 'P 2 -2'
_cell_length_a 4.0681
_cell_length_b 5.3590
_cell_length_c 9.1106
_cell_angle_alpha 90.00
_cell_angle_beta 90.00
_cell_angle_gamma 90.00
loop_
_atom_site_label
_atom_site_fract_x
_atom_site_fract_y
_atom_site_fract_z
_atom_site_occupancy
Tb1 0.0000 0.0000 0.0000 1
Ho1 0.5000 0.5000 0.2544 1
S1 0.0000 0.5000 0.0543 1
S2 0.5000 0.0000 0.2043 1
Br1 0.0000 0.5000 0.4681 1
Br2 0.5000 0.0000 0.7823 1
```

Entry 3:
BeCuSi | PBE | relaxed

Properties
E   -0.1551 hartree per atom

CIF file:
```
data_BeCuSi
_chemical_formula_sum 'Be4 Cu4 Si4'
_symmetry_space_group_name_H-M 'F -4 3 m'
_symmetry_Int_Tables_number 216
_symmetry_space_group_name_Hall 'F -4 2 3'
_cell_length_a 5.3373
_cell_length_b 5.3373
_cell_length_c 5.3373
_cell_angle_alpha 90.00
_cell_angle_beta 90.00
_cell_angle_gamma 90.00
loop_
_atom_site_label
_atom_site_fract_x
_atom_site_fract_y
_atom_site_fract_z
_atom_site_occupancy
Be1 0.0000 0.0000 0.0000 1
Cu1 0.2500 0.2500 0.2500 1
Si1 0.0000 0.0000 0.5000 1
```